1.
GGA-PBE PmDy2Ho3Te6, optimized geometry; ΔE_f (raw) = -1.284 eV per atom
1.0
-3.787 1.737 1.207
-4.218 -7.047 -3.098
3.718 -3.179 8.448
Dy Ho Te Pm
2 3 6 1
Cartesian
-0.789 -3.080 1.956
-3.499 -5.410 4.601
-4.003 -2.655 -0.946
-1.370 -1.871 6.191
-2.918 -6.619 0.366
-0.542 -4.470 4.732
-2.665 -7.977 3.115
-1.086 -1.820 -0.789
-3.202 -6.669 7.346
-1.623 -0.512 3.441
-3.746 -4.019 1.825
-1.894 0.868 0.603

2.
GGA-PBE SrRe2GeTe, optimized geometry; ΔE_f (raw) = 1.679 eV per atom
1.0
4.897 0.000 0.000
0.000 5.892 0.000
0.000 0.000 4.897
Re Sr Te Ge
2 1 1 1
Cartesian
0.000 0.000 2.449
2.449 0.000 0.000
0.000 2.946 0.000
0.000 0.000 0.000
2.449 2.946 2.449

3.
GGA-PBE Pr2SmZn2Si2, optimized geometry; ΔE_f (raw) = -0.481 eV per atom
1.0
4.131 0.000 0.000
2.066 3.578 0.000
2.066 1.193 11.654
Sm Zn Pr Si
1 2 2 2
Cartesian
0.000 0.000 0.000
4.131 2.385 9.563
4.131 2.385 2.092
2.066 1.193 7.444
6.197 3.578 4.210
2.066 1.193 2.087
6.197 3.578 9.567

4.
GGA-PBE Cu2WAu, optimized geometry; energy relative to the lowest polymorph listed for this composition = 80 kJ/mol of formula units; energy of formation = 402 meV per atom
1.0
4.750 0.114 0.000
-1.157 4.608 0.000
0.000 0.000 2.663
Cu W Au
2 1 1
Cartesian
0.000 0.000 0.000
1.797 2.361 0.000
2.375 0.057 1.332
-0.578 2.304 1.332

5.
GGA-PBE YTl2PbF6, optimized geometry; ΔE_f (raw) = -2.565 eV per atom
1.0
-2.669 -4.440 3.495
6.056 -3.932 -0.369
3.172 4.162 7.709
F Y Tl Pb
12 2 4 2
Cartesian
5.371 -4.989 0.484
-0.363 -1.243 6.451
5.528 -2.117 1.533
4.001 -7.268 2.278
1.493 -5.527 2.370
7.199 0.075 5.593
2.146 -2.984 6.359
0.779 -1.954 3.700
2.281 0.016 7.349
0.937 0.918 4.749
3.542 -0.661 4.530
2.765 -3.410 0.703
4.675 -3.035 -0.285
1.632 -1.036 5.518
2.139 0.175 1.856
5.764 -2.154 7.253
3.716 2.245 5.689
4.169 -4.246 3.377
0.344 -3.310 1.645
5.964 -0.761 3.588

6.
GGA-PBE ZrHgBr3, optimized geometry; ΔE_f (raw) = -0.856 eV per atom; energy relative to the lowest polymorph listed for this composition = 75 kJ/mol of formula units
1.0
5.389 0.000 0.000
0.000 5.389 0.000
0.000 0.000 5.389
Zr Hg Br
1 1 3
Cartesian
0.000 0.000 0.000
2.694 2.694 2.694
0.000 0.000 2.694
2.694 0.000 0.000
0.000 2.694 0.000

7.
GGA-PBE La2TlCdCo, optimized geometry; energy relative to the lowest polymorph listed for this composition = 0 kJ/mol of formula units; energy of formation = -263 meV per atom
1.0
-4.461 0.616 -2.605
-2.642 -0.205 4.477
0.421 5.079 0.480
Co La Tl Cd
1 2 1 1
Cartesian
0.000 0.000 0.000
-2.230 0.308 -1.302
-1.321 -0.102 2.238
-3.341 2.745 1.176
0.210 2.540 0.240

8.
GGA-PBE TbPaRuRh, optimized geometry; energy of formation = -523 meV per atom
1.0
4.858 0.000 0.000
2.429 4.207 0.000
2.429 1.402 3.967
Ru Pa Rh Tb
1 1 1 1
Cartesian
7.287 4.207 2.975
0.000 0.000 0.000
2.429 1.402 0.992
4.858 2.805 1.983

| no. | theoretical density (g cm⁻³) | total energy (eV for the cell shown) |
| --- | --- | --- |
| 1 | 8.2 | -61.950 |
| 2 | 7.8 | -25.940 |
| 3 | 6.0 | -31.036 |
| 4 | 14.4 | -22.816 |
| 5 | 6.5 | -103.557 |
| 6 | 5.6 | -18.151 |
| 7 | 7.8 | -21.555 |
| 8 | 12.2 | -32.847 |